# 1
LaNClF2: relaxed, PBEsol.

extended XYZ file:
```
5
Lattice="4.490 0.000 0.000 0.000 4.490 0.000 0.000 0.000 5.233" Properties=species:S:1:pos:R:3 pbc="T T T"
N 0.000 0.000 2.616
F 0.000 2.245 0.000
F 2.245 0.000 0.000
Cl 2.245 2.245 2.616
La 0.000 0.000 0.000
```


# 2
LaPtClF2: relaxed, PBEsol.

extended XYZ file:
```
5
Lattice="-1.519 4.090 -0.676 -3.959 -1.218 1.527 1.618 1.491 5.383" Properties=species:S:1:pos:R:3 pbc="T T T"
F -1.980 -0.609 0.764
F -0.759 2.045 -0.338
Cl 0.809 0.745 2.691
Pt -1.930 2.181 3.117
La 0.000 0.000 0.000
```


| no. | ΔE_f (raw) (kJ/mol of atoms) |
| --- | --- |
| 1 | -148.8 |
| 2 | -172.8 |